First-principles (PBE+U) data for a geometry-optimized MnTcO4 structure, as listed in Alexandria.

a = 5.630 Å, b = 5.630 Å, c = 9.102 Å
α = 90.00°, β = 90.00°, γ = 90.00°
Space group I-4 (No. 82)
Unique sites:
Mn: 0.000 0.000 0.000 (multiplicity 2)
Tc: 0.000 0.500 0.250 (multiplicity 2)
O: 0.104 0.267 0.133 (multiplicity 8)

Results
E_tot: -7.69 eV/atom
Crystal system: tetragonal
Offset from the most stable computed form: 0.021 eV per atom
Magnetization: 0.67 μB per atom